[1]
Compound: As2PSe
Source: Alexandria via LeMat-Bulk
Functional: GGA-PBE
Structure: relaxed

Output
SG: P4/mmm, No. 123
Total DFT energy (no corrections): -16.356 eV per cell
Energy above the lowest structure with this stoichiometry: 335 meV/atom
Formation energy without anion corrections: 459 meV/atom
Calculated volume: 19.12 Å³/atom

Geometry as POSCAR:
```
As2PSe
1.0
3.221 0.000 0.000
0.000 3.221 0.000
0.000 0.000 7.371
As P Se
2 1 1
Cartesian
0.000 0.000 1.410
0.000 0.000 5.961
1.611 1.611 0.000
1.611 1.611 3.685
```

---

[2]
Compound: AsPSe
Source: Alexandria via LeMat-Bulk
Functional: GGA-PBE
Structure: relaxed

Output
SG: I4mm, No. 107
Total DFT energy (no corrections): -12.823 eV per cell
Energy above the lowest structure with this stoichiometry: 69 meV/atom
Formation energy without anion corrections: 240 meV/atom
Calculated volume: 24.64 Å³/atom

Geometry as POSCAR:
```
AsPSe
1.0
-1.651 1.651 6.781
1.651 -1.651 6.781
1.651 1.651 -6.781
As P Se
1 1 1
Cartesian
0.000 0.000 0.000
0.000 0.000 5.828
0.000 0.000 3.634
```

---

[3]
Compound: As2PSe
Source: Alexandria via LeMat-Bulk
Functional: GGA-PBE
Structure: relaxed

Output
SG: I-42d, No. 122
Total DFT energy (no corrections): -34.132 eV per cell
Energy above the lowest structure with this stoichiometry: 157 meV/atom
Formation energy without anion corrections: 282 meV/atom
Calculated volume: 23.51 Å³/atom

Geometry as POSCAR:
```
As2PSe
1.0
-3.341 3.341 4.212
3.341 -3.341 4.212
3.341 3.341 -4.212
As P Se
4 2 2
Cartesian
5.012 1.471 -1.053
1.471 1.671 1.053
-1.671 1.870 3.159
1.870 1.671 5.265
0.000 0.000 0.000
0.000 3.341 2.106
3.341 0.000 2.106
0.000 0.000 4.212
```

---

[4]
Compound: AsPSe2
Source: Alexandria via LeMat-Bulk
Functional: GGA-PBE
Structure: relaxed

Output
SG: I-42d, No. 122
Total DFT energy (no corrections): -31.180 eV per cell
Energy above the lowest structure with this stoichiometry: 229 meV/atom
Formation energy without anion corrections: 360 meV/atom
Calculated volume: 23.39 Å³/atom

Geometry as POSCAR:
```
AsPSe2
1.0
-3.427 3.427 3.984
3.427 -3.427 3.984
3.427 3.427 -3.984
As P Se
2 2 4
Cartesian
0.000 0.000 0.000
0.000 3.427 1.992
3.427 0.000 1.992
0.000 0.000 3.984
1.713 -1.628 2.988
1.799 1.713 0.996
1.713 5.054 -0.996
1.628 1.713 4.980
```

---

[5]
Compound: AsP2Se
Source: Alexandria via LeMat-Bulk
Functional: GGA-PBE
Structure: relaxed

Output
SG: C2/m, No. 12
Total DFT energy (no corrections): -18.271 eV per cell
Energy above the lowest structure with this stoichiometry: 3 meV/atom
Formation energy without anion corrections: 171 meV/atom
Calculated volume: 20.03 Å³/atom

Geometry as POSCAR:
```
AsP2Se
1.0
5.695 -1.708 0.000
5.695 1.708 0.000
-0.621 0.000 4.117
As P Se
1 2 1
Cartesian
0.000 0.000 0.000
2.535 0.000 0.654
8.233 0.000 3.463
5.384 0.000 2.058
```

---

[6]
Compound: AsPSe2
Source: Alexandria via LeMat-Bulk
Functional: GGA-PBE
Structure: relaxed

Output
SG: P4mm, No. 99
Total DFT energy (no corrections): -15.904 eV per cell
Energy above the lowest structure with this stoichiometry: 151 meV/atom
Formation energy without anion corrections: 281 meV/atom
Calculated volume: 25.57 Å³/atom

Geometry as POSCAR:
```
AsPSe2
1.0
3.362 0.000 0.000
0.000 3.362 0.000
0.000 0.000 9.050
As P Se
1 1 2
Cartesian
0.000 0.000 0.000
1.681 1.681 2.991
0.000 0.000 3.912
1.681 1.681 7.924
```

---

[7]
Compound: As2PSe
Source: Alexandria via LeMat-Bulk
Functional: GGA-PBE
Structure: relaxed

Output
SG: R-3m, No. 166
Total DFT energy (no corrections): -17.695 eV per cell
Energy above the lowest structure with this stoichiometry: 0 meV/atom
Formation energy without anion corrections: 125 meV/atom
Calculated volume: 19.70 Å³/atom

Geometry as POSCAR:
```
As2PSe
1.0
1.872 1.081 6.490
-1.872 1.081 6.490
0.000 -2.162 6.490
As P Se
2 1 1
Cartesian
0.000 0.000 4.710
0.000 0.000 14.759
0.000 0.000 9.735
0.000 0.000 0.000
```

---

[8]
Compound: AsP2Se
Source: Alexandria via LeMat-Bulk
Functional: GGA-PBE
Structure: relaxed

Output
SG: C2/m, No. 12
Total DFT energy (no corrections): -17.821 eV per cell
Energy above the lowest structure with this stoichiometry: 116 meV/atom
Formation energy without anion corrections: 283 meV/atom
Calculated volume: 18.43 Å³/atom

Geometry as POSCAR:
```
AsP2Se
1.0
2.665 -3.748 0.000
2.665 3.748 0.000
-2.610 0.000 3.691
As P Se
1 2 1
Cartesian
0.000 0.000 0.000
0.028 1.874 1.846
0.028 -1.874 1.846
2.665 0.000 0.000
```